## MgScHg2 (PBE-GGA)

Data for an optimized crystal structure of MgScHg2.

## Properties
E: -2.330 eV/atom
energy relative to the elements: -0.197 eV/atom
crystal system: tetragonal

Cell and atoms, written as CIF:
```
data_MgScHg2
_space_group_name_H-M_alt 'P 1'
_space_group_IT_number 1
_space_group_name_Hall 'P 1'
_cell_length_a 3.779
_cell_length_b 3.779
_cell_length_c 6.282
_cell_angle_alpha 90.00
_cell_angle_beta 90.00
_cell_angle_gamma 90.00
loop_
_atom_site_label
_atom_site_fract_x
_atom_site_fract_y
_atom_site_fract_z
Hg1 0.000 0.000 0.977
Hg2 0.500 0.500 0.278
Mg1 0.000 0.000 0.475
Sc1 0.500 0.500 0.769
```